Entry from Alexandria via LeMat-Bulk: a geometry-optimized Ac3La4CrN8 structure (PBE).

The structure in POSCAR format:
```
Ac3La4CrN8
1.0
6.6393 -3.6679 0.0000
6.6393 3.6679 0.0000
-3.9625 0.0000 6.1248
Ac La Cr N
3 4 1 8
direct
0.0000 0.0000 0.0000
0.0000 0.5000 0.0000
0.5000 0.0000 0.0000
0.0000 0.0000 0.5000
0.0000 0.5000 0.5000
0.5000 0.0000 0.5000
0.5000 0.5000 0.5000
0.5000 0.5000 0.0000
0.2101 0.2101 0.7027
0.2528 0.2528 0.2619
0.2816 0.7164 0.7760
0.2836 0.7184 0.2240
0.7164 0.2816 0.7760
0.7184 0.2836 0.2240
0.7472 0.7472 0.7381
0.7899 0.7899 0.2973
```

Results
E_form (uncorrected) = -21.48 kcal/mol of atoms
SG = No. 12
DOS at the Fermi energy = 5.21 states/eV/cell

=====

Entry from Alexandria via LeMat-Bulk: a geometry-optimized CdTeSe2N structure (PBE).

The structure in POSCAR format:
```
CdTeSe2N
1.0
5.3888 0.0000 0.0000
0.0000 5.3888 0.0000
0.0000 0.0000 4.1760
Cd Te Se N
1 1 2 1
direct
0.0000 0.0000 0.0000
0.5000 0.5000 0.5000
0.0000 0.5000 0.0000
0.5000 0.0000 0.0000
0.0000 0.0000 0.5000
```

Results
E_form (uncorrected) = 23.53 kcal/mol of atoms
SG = No. 123
DOS at the Fermi energy = 3.47 states/eV/cell

=====

Entry from Alexandria via LeMat-Bulk: a geometry-optimized ErTh5Sc structure (PBE).

The structure in POSCAR format:
```
ErTh5Sc
1.0
5.6747 -3.2321 0.0000
5.6747 3.2321 0.0000
-2.8905 0.0000 12.2226
Er Th Sc
2 10 2
direct
0.2366 0.7634 0.7500
0.7634 0.2366 0.2500
0.2143 0.2555 0.6805
0.2555 0.2143 0.1805
0.2652 0.7348 0.2500
0.3135 0.3425 0.9489
0.3425 0.3135 0.4489
0.6575 0.6865 0.5511
0.6865 0.6575 0.0511
0.7348 0.2652 0.7500
0.7445 0.7857 0.8195
0.7857 0.7445 0.3195
0.0000 0.0000 0.0000
0.0000 0.0000 0.5000
```

Results
SG = No. 15
formation enthalpy at 0 K = 22.7 kJ per mole of atoms
DOS at the Fermi energy = 21.90 states/eV/cell

=====

Entry from Alexandria via LeMat-Bulk: a geometry-optimized HfBeCu4 structure (PBE).

The structure in POSCAR format:
```
HfBeCu4
1.0
0.0000 3.4163 3.4163
3.4163 0.0000 3.4163
3.4163 3.4163 0.0000
Hf Be Cu
1 1 4
direct
0.0000 0.0000 0.0000
0.2500 0.2500 0.2500
0.1270 0.6243 0.6243
0.6243 0.1270 0.6243
0.6243 0.6243 0.1270
0.6243 0.6243 0.6243
```

Results
SG = No. 216
formation enthalpy at 0 K = -2.2 kJ per mole of atoms
DOS at the Fermi energy = 2.01 states/eV/cell